Here is crystalline GeIrN at its relaxed geometry from the Alexandria database. Energies are from PBE.

Cell and atoms, written as POSCAR:
```
GeIrN
1.0
3.562 0.000 0.000
0.000 2.818 0.000
-1.751 0.000 4.488
Ge Ir N
1 1 1
Direct
0.000 0.000 0.000
0.361 0.500 0.717
0.200 0.000 0.410
```

## Properties
- DOS(E_F) (states/eV per cell) = 0.84
- formation energy (no corrections) (eV/f.u.) = 1.06